Compound: CaAc7Pr3
Source: the Alexandria database
Functional: PBE-GGA
Structure: relaxed Values from VASP.

Output
Spin magnetization in μB/cell: 0.00
N(E_F) in states/eV/f.u.: 16.0
Energy in eV per atom: -3.87
Energy relative to the elements in eV per atom: 0.23

The structure in Quantum ESPRESSO input format:
```
&SYSTEM
  ibrav = 0, nat = 11, ntyp = 3
/
ATOMIC_SPECIES
Pr 140.91 Pr.upf
Ac 227.00 Ac.upf
Ca 40.08 Ca.upf
ATOMIC_POSITIONS angstrom
Pr -1.2289 1.8050 -2.7643
Pr -1.7253 5.9552 3.8719
Pr -6.8158 0.5245 2.5889
Ac -1.4748 3.9265 0.5326
Ac -6.9366 8.9236 1.0517
Ac -4.2705 3.2398 3.2304
Ac -3.9042 4.3245 -2.8140
Ac -4.0622 1.1661 -0.1195
Ac -9.5241 6.1632 0.3996
Ac -7.0946 5.7652 3.7461
Ca -5.4994 5.0448 0.4661
CELL_PARAMETERS angstrom
-2.4578 3.6100 -5.5287
-8.0540 -0.7964 2.2769
-0.4871 7.2761 4.1840
```